VASP calculation (PBE with a Hubbard U) on a relaxed structure of Ba6Na2Ta2Mn2O17.

Calculated values
Its mass density is 5.7 g/cm3. The calculation puts the magnetization at 4.001 μB per formula unit. Its space group is P6_3/mmc. Its uncorrected energy is -7.1283 eV per atom.

Unit cell a=5.979 b=5.979 c=30.387 alpha=90.00 beta=90.00 gamma=120.00
Fractional coordinates of all 58 atoms:
Ba  0.333  0.667  0.320
Ba  0.667  0.333  0.680
Ba  0.667  0.333  0.820
Ba  0.333  0.667  0.180
Ba  0.000  0.000  0.500
Ba  0.000  0.000  0.000
Ba  0.333  0.667  0.910
Ba  0.667  0.333  0.090
Ba  0.667  0.333  0.410
Ba  0.333  0.667  0.590
Ba  0.000  0.000  0.250
Ba  0.000  0.000  0.750
Na  0.000  0.000  0.375
Na  0.000  0.000  0.625
Na  0.000  0.000  0.875
Na  0.000  0.000  0.125
Ta  0.333  0.667  0.799
Ta  0.667  0.333  0.201
Ta  0.667  0.333  0.299
Ta  0.333  0.667  0.701
Mn  0.333  0.667  0.448
Mn  0.667  0.333  0.552
Mn  0.667  0.333  0.948
Mn  0.333  0.667  0.052
O  0.333  0.667  0.996
O  0.667  0.333  0.004
O  0.667  0.333  0.496
O  0.333  0.667  0.504
O  0.650  0.825  0.830
O  0.350  0.175  0.170
O  0.175  0.350  0.830
O  0.350  0.175  0.330
O  0.825  0.650  0.170
O  0.650  0.825  0.670
O  0.175  0.825  0.830
O  0.825  0.650  0.330
O  0.825  0.175  0.170
O  0.175  0.350  0.670
O  0.825  0.175  0.330
O  0.175  0.825  0.670
O  0.969  0.484  0.250
O  0.031  0.516  0.750
O  0.516  0.031  0.250
O  0.484  0.969  0.750
O  0.516  0.484  0.250
O  0.484  0.516  0.750
O  0.645  0.823  0.428
O  0.355  0.177  0.572
O  0.177  0.355  0.428
O  0.355  0.177  0.928
O  0.823  0.645  0.572
O  0.645  0.823  0.072
O  0.177  0.823  0.428
O  0.823  0.645  0.928
O  0.823  0.177  0.572
O  0.177  0.355  0.072
O  0.823  0.177  0.928
O  0.177  0.823  0.072